BaMoF2: relaxed, PBE+U.

extended XYZ file:
```
4
Lattice="2.5694 0.0000 5.9464 -1.2847 2.2252 5.9464 -1.2847 -2.2252 5.9464" Properties=species:S:1:pos:R:3 pbc="T T T"
Mo 0.0000 0.0000 0.0000
Ba 0.0000 0.0000 8.9195
F 0.0000 0.0000 15.6765
F 0.0000 0.0000 2.1626
```

Relative energy among the computed polymorphs (meV per atom): 0.0
Total DFT energy (no corrections) (eV for the cell shown): -20.64
Space-group type: No. 166
Total magnetization (μB/atom): 1.02